Record 1
DFT (PBE-GGA) results for a relaxed structure of NaLiSmAg.

abc: 7.3224 7.3224 7.3224
angles: 90.00 90.00 90.00
Closest atoms and distances in Å follow each position.
Space group F-43m (No. 216)
Unique sites:
Na (0.0000, 0.0000, 0.0000) x4  4 Ag 3.17, 4 Li 3.17
Li (0.2500, 0.2500, 0.2500) x4  4 Na 3.17, 4 Sm 3.17
Sm (0.0000, 0.0000, 0.5000) x4  4 Li 3.17, 4 Ag 3.17
Ag (0.2500, 0.2500, 0.7500) x4  4 Na 3.17, 4 Sm 3.17

Values from the calculation:
The total magnetization comes out at 0.00 μB/f.u. The formation energy is 55.5 meV/atom.

***

Record 2
DFT (PBE-GGA) results for a relaxed structure of NaLiAgSn.

abc: 6.8801 6.8801 6.8801
angles: 90.00 90.00 90.00
Closest atoms and distances in Å follow each position.
Space group F-43m (No. 216)
Unique sites:
Na (0.0000, 0.0000, 0.0000) x4  4 Li 2.98, 4 Ag 2.98
Li (0.2500, 0.2500, 0.2500) x4  4 Sn 2.98, 4 Na 2.98
Ag (0.2500, 0.2500, 0.7500) x4  4 Na 2.98, 4 Sn 2.98
Sn (0.0000, 0.0000, 0.5000) x4  4 Li 2.98, 4 Ag 2.98

Values from the calculation:
The total magnetization comes out at 0.00 μB/f.u. The formation energy is -239.9 meV/atom.

***

Record 3
DFT (PBE-GGA) results for a relaxed structure of NaSrLi2Ag.

abc: 5.2075 5.2075 5.5718
angles: 90.00 90.00 90.00
Closest atoms and distances in Å follow each position.
Space group P4/mmm (No. 123)
Unique sites:
Na (0.0000, 0.0000, 0.0000) x1  2 Ag 2.79
Sr (0.5000, 0.5000, 0.0000) x1  4 Na 3.68, 8 Li 3.81
Li (0.0000, 0.5000, 0.5000) x2  2 Ag 2.60
Ag (0.0000, 0.0000, 0.5000) x1  4 Li 2.60, 2 Na 2.79

Values from the calculation:
The calculation puts the polymorph energy (0 for the lowest one) at 0 meV per atom. The total magnetization comes out at 0.00 μB/f.u. The formation energy is 47.7 meV/atom.

***

Record 4
DFT (PBE-GGA) results for a relaxed structure of NaSr2LiAg.

abc: 6.1845 6.1845 5.6024
angles: 90.00 90.00 90.00
Closest atoms and distances in Å follow each position.
Space group P4/mmm (No. 123)
Unique sites:
Na (0.0000, 0.0000, 0.0000) x1  2 Ag 2.80
Sr (0.0000, 0.5000, 0.5000) x2  2 Ag 3.09
Li (0.5000, 0.5000, 0.0000) x1  8 Sr 4.17, 4 Na 4.37
Ag (0.0000, 0.0000, 0.5000) x1  2 Na 2.80, 4 Sr 3.09

Values from the calculation:
The calculation puts the polymorph energy (0 for the lowest one) at 87 meV per atom. The total magnetization comes out at 0.00 μB/f.u. The formation energy is 56.0 meV/atom.

***

Number 1: electronic total energy -42.33 eV per cell. Number 2: electronic total energy -44.19 eV per cell. Number 3: electronic total energy -9.44 eV per cell. Number 4: electronic total energy -9.17 eV per cell.